Computed, not measured: crystalline TmGe2Ir at its relaxed geometry at the PBE-GGA level of DFT.

The structure in POSCAR format:
```
TmGe2Ir
1.0
-2.323 -1.714 3.068
-1.671 -3.832 -0.514
2.615 -3.823 2.736
Ge Tm Ir
2 1 1
direct
0.777 0.777 0.669 Ge
0.223 0.223 0.331 Ge
0.000 0.000 0.000 Tm
0.500 0.500 0.500 Ir
```

Output
V: 18.4 A^3/atom
DOS at the Fermi energy: 0.41 states/eV per atom
VASP energy: -25.2 eV/cell
formation energy: -657 meV/atom
ρ: 11.4 g/cm³

***

Computed, not measured: crystalline TmGe2Ir4 at its relaxed geometry at the PBE-GGA level of DFT.

The structure in POSCAR format:
```
TmGe2Ir4
1.0
4.057 0.000 0.000
0.000 4.116 0.000
0.000 -2.058 7.007
Ir Ge Tm
4 2 1
direct
0.500 0.179 0.357 Ir
0.500 0.821 0.643 Ir
0.000 0.317 0.634 Ir
0.000 0.683 0.366 Ir
0.500 0.586 0.173 Ge
0.500 0.414 0.827 Ge
0.000 0.000 0.000 Tm
```

Output
V: 16.7 A^3/atom
DOS at the Fermi energy: 0.59 states/eV per atom
VASP energy: -52.0 eV/cell
formation energy: -411 meV/atom
ρ: 15.4 g/cm³